# 1
Here is a relaxed structure of RbBa2NaCl from the Alexandria database. Energies are from GGA-PBE.

Geometry as POSCAR:
```
RbBa2NaCl
1.0
6.337 0.000 0.000
0.000 6.337 0.000
0.000 0.000 6.711
Rb Ba Na Cl
1 2 1 1
Direct
0.000 0.000 0.000
0.000 0.500 0.500
0.500 0.000 0.500
0.500 0.500 0.000
0.000 0.000 0.500
```

Summary:
**Space-group type**: P4/mmm
**Crystal system**: tetragonal
**E**: -2.204 eV per atom
**ρ**: 2.58 Mg/m³
**Energy relative to the elements, uncorrected**: -0.61 eV/atom

=====

# 2
Here is a relaxed structure of RbBaNaCl4 from the Alexandria database. Energies are from GGA-PBE.

Geometry as POSCAR:
```
RbBaNaCl4
1.0
3.596 -8.185 0.000
3.596 8.185 0.000
0.000 0.000 7.428
Rb Ba Na Cl
2 2 2 8
Direct
0.108 0.892 0.750
0.892 0.108 0.250
0.375 0.625 0.750
0.625 0.375 0.250
0.252 0.748 0.250
0.748 0.252 0.750
0.000 0.500 0.000
0.000 0.500 0.500
0.083 0.917 0.250
0.437 0.563 0.250
0.500 0.000 0.000
0.500 0.000 0.500
0.563 0.437 0.750
0.917 0.083 0.750
```

Summary:
**Space-group type**: Cmcm
**Crystal system**: orthorhombic
**E**: -3.736 eV per atom
**ρ**: 2.94 Mg/m³
**Energy relative to the elements, uncorrected**: -2.08 eV/atom

=====

# 3
Here is a relaxed structure of BaNaRe2Cl from the Alexandria database. Energies are from GGA-PBE.

Geometry as POSCAR:
```
BaNaRe2Cl
1.0
4.499 0.000 0.000
0.000 4.499 0.000
0.000 0.000 5.716
Ba Na Re Cl
1 1 2 1
Direct
0.000 0.000 0.000
0.500 0.500 0.000
0.000 0.500 0.500
0.500 0.000 0.500
0.000 0.000 0.500
```

Summary:
**Space-group type**: P4/mmm
**Crystal system**: tetragonal
**E**: -4.748 eV per atom
**ρ**: 8.16 Mg/m³
**Energy relative to the elements, uncorrected**: 1.25 eV/atom